# 1
VASP calculation (GGA-PBEsol) on a relaxed structure of LaNb2AgTe.

abc: 4.9660 4.9660 5.3677
angles: 90.00 90.00 90.00
Last column: nearest neighbours and their distance in Å.
Positions (direct):
Te 0.0000 0.0000 0.5000  2 Ag 2.68
Ag 0.0000 0.0000 0.0000  4 Nb 2.48, 2 Te 2.68
Nb 0.0000 0.5000 0.0000  2 Ag 2.48
La 0.5000 0.5000 0.5000  4 Te 3.51, 8 Nb 3.66
Nb 0.5000 0.0000 0.0000  2 Ag 2.48

Output
Density of states at the Fermi level in states/eV/atom: 1.908
E_form (uncorrected) in eV/atom: 1.070
Crystal system: tetragonal



# 2
VASP calculation (GGA-PBEsol) on a relaxed structure of La2Ni2Ag.

abc: 3.8235 7.3423 7.3423
angles: 90.00 90.00 90.00
Last column: nearest neighbours and their distance in Å.
Positions (direct):
Ni 0.0000 0.1197 0.3803  1 Ni 2.49
La 0.5000 0.6772 0.8228  6 Ni 2.85-2.93
La 0.5000 0.1772 0.6772  6 Ni 2.85-2.93
La 0.5000 0.8228 0.3228  6 Ni 2.85-2.93
Ag 0.0000 0.0000 0.0000  4 Ni 2.93
Ag 0.0000 0.5000 0.5000  4 Ni 2.93
Ni 0.0000 0.6197 0.1197  1 Ni 2.49
Ni 0.0000 0.8803 0.6197  1 Ni 2.49
La 0.5000 0.3228 0.1772  6 Ni 2.85-2.93
Ni 0.0000 0.3803 0.8803  1 Ni 2.49

Output
Density of states at the Fermi level in states/eV/atom: 0.793
Calculated formation energy in meV per atom: -293
Crystal system: tetragonal
Relative energy among the computed polymorphs in meV per atom: 0



# 3
VASP calculation (GGA-PBEsol) on a relaxed structure of LaNi4Ag.

abc: 4.9525 4.9525 4.9525
angles: 60.00 60.00 60.00
Last column: nearest neighbours and their distance in Å.
Positions (direct):
Ni 0.6240 0.1279 0.6240  6 Ni 2.46-2.50
Ag 0.2500 0.2500 0.2500  12 Ni 2.90, 4 La 3.03
Ni 0.1279 0.6240 0.6240  6 Ni 2.46-2.50
La 0.0000 0.0000 0.0000  12 Ni 2.91, 4 Ag 3.03
Ni 0.6240 0.6240 0.6240  6 Ni 2.46-2.50
Ni 0.6240 0.6240 0.1279  6 Ni 2.46-2.50

Output
Density of states at the Fermi level in states/eV/atom: 1.132
Calculated formation energy in meV per atom: -189
Crystal system: cubic



# 4
VASP calculation (GGA-PBEsol) on a relaxed structure of LaNiAg.

abc: 3.7955 4.3999 4.3999
angles: 120.00 90.00 90.00
Last column: nearest neighbours and their distance in Å.
Positions (direct):
Ni 0.1678 0.3333 0.6667  3 Ag 2.54
Ag 0.1661 0.0000 0.0000  3 Ni 2.54
La 0.6661 0.6667 0.3333  6 Ni 3.17, 6 Ag 3.17

Output
Density of states at the Fermi level in states/eV/atom: 0.659
Calculated formation energy in meV per atom: -175
Crystal system: trigonal



# 5
VASP calculation (GGA-PBEsol) on a relaxed structure of La2NiAg.

abc: 3.6146 5.1367 5.1367
angles: 90.00 90.00 90.00
Last column: nearest neighbours and their distance in Å.
Positions (direct):
La 0.0000 0.0000 0.5000  4 Ni 3.14, 4 Ag 3.14
Ni 0.5000 0.5000 0.5000  8 La 3.14
La 0.0000 0.5000 0.0000  4 Ni 3.14, 4 Ag 3.14
Ag 0.5000 0.0000 0.0000  8 La 3.14

Output
Density of states at the Fermi level in states/eV/atom: 1.055
Calculated formation energy in meV per atom: -153
Crystal system: tetragonal



# 6
VASP calculation (GGA-PBEsol) on a relaxed structure of La2NiAg.

abc: 3.5742 3.5742 7.3696
angles: 90.00 90.00 90.00
Last column: nearest neighbours and their distance in Å.
Positions (direct):
Ag 0.5000 0.5000 0.5000  8 La 3.25, 4 Ag 3.57
La 0.0000 0.0000 0.2217  4 Ni 3.01, 4 Ag 3.25, 1 La 3.27
Ni 0.5000 0.5000 0.0000  8 La 3.01
La 0.0000 0.0000 0.7783  4 Ni 3.01, 4 Ag 3.25, 1 La 3.27

Output
Density of states at the Fermi level in states/eV/atom: 1.207
Calculated formation energy in meV per atom: -212
Crystal system: tetragonal



| no. | total energy (eV per cell) |
| --- | --- |
| 1 | -28.477 |
| 2 | -55.568 |
| 3 | -34.423 |
| 4 | -15.341 |
| 5 | -20.775 |
| 6 | -21.011 |